# 1
# GGA-PBE Ce2Ga3AgPt4, relaxed
# DFT formation energy	-8.22	eV per formula unit
# DFT total energy	-5.618	eV/atom
# SG	No. 115
# DOS(E_F)	1.1666	states/eV per atom
data_Ce2Ga3AgPt4
_chemical_formula_sum 'Ce2 Ga3 Ag1 Pt4'
_space_group_name_H-M_alt 'P 1'
_space_group_IT_number 1
_cell_length_a 4.080
_cell_length_b 4.080
_cell_length_c 11.714
_cell_angle_alpha 90.00
_cell_angle_beta 90.00
_cell_angle_gamma 90.00
loop_
_space_group_symop_operation_xyz
'x,y,z'
loop_
_atom_site_label
_atom_site_fract_x
_atom_site_fract_y
_atom_site_fract_z
Ce1 0.500 0.000 0.253
Ce2 0.000 0.500 0.747
Pt1 0.500 0.000 0.661
Pt2 0.000 0.000 0.000
Pt3 0.500 0.500 0.000
Pt4 0.000 0.500 0.339
Ga1 0.000 0.000 0.500
Ga2 0.000 0.500 0.127
Ga3 0.500 0.000 0.873
Ag1 0.500 0.500 0.500

# 2
# GGA-PBE AcDy2O, relaxed
# DFT total energy	-5.744	eV/atom
# ΔE to the lowest computed polymorph	0.000	eV per atom
# SG	No. 166
# DOS(E_F)	1.0579	states/eV per atom
# energy relative to the elements, uncorrected	-1.176	eV per atom
data_AcDy2O
_chemical_formula_sum 'Ac1 Dy2 O1'
_space_group_name_H-M_alt 'P 1'
_space_group_IT_number 1
_cell_length_a 3.574
_cell_length_b 3.574
_cell_length_c 9.936
_cell_angle_alpha 79.64
_cell_angle_beta 79.64
_cell_angle_gamma 60.00
loop_
_space_group_symop_operation_xyz
'x,y,z'
loop_
_atom_site_label
_atom_site_fract_x
_atom_site_fract_y
_atom_site_fract_z
O1 0.500 0.500 0.500
Ac1 0.000 0.000 0.000
Dy1 0.877 0.877 0.368
Dy2 0.123 0.123 0.632

# 3
# GGA-PBE TaFeRe2, relaxed
# DFT formation energy	-0.09	eV per formula unit
# DFT total energy	-11.326	eV/atom
# SG	No. 216
# DOS(E_F)	0.6645	states/eV per atom
data_TaFeRe2
_chemical_formula_sum 'Ta1 Fe1 Re2'
_space_group_name_H-M_alt 'P 1'
_space_group_IT_number 1
_cell_length_a 4.393
_cell_length_b 4.393
_cell_length_c 4.393
_cell_angle_alpha 119.98
_cell_angle_beta 119.98
_cell_angle_gamma 90.04
loop_
_space_group_symop_operation_xyz
'x,y,z'
loop_
_atom_site_label
_atom_site_fract_x
_atom_site_fract_y
_atom_site_fract_z
Re1 0.250 0.750 0.500
Re2 0.000 0.000 0.000
Fe1 0.750 0.250 0.500
Ta1 0.500 0.500 0.000

DFT total energy of number 2 (AcDy2O)? -5.744 eV/atom

What is the DFT total energy in the second record? -5.744 eV/atom

Number 3 is which compound? TaFeRe2